[1]
Material: Cs2MnS
Method: DFT, meta-GGA SCAN
State: PBEsol geometry

Results
The final energy is -416.10 eV per cell. Its space group is Fm-3m. The uncorrected formation energy is -0.130 eV per atom. Its total magnetization is 20.000 μB/cell.

POSCAR file:
```
Cs2MnS
1.0
8.292 0.000 0.000
0.000 8.292 0.000
0.000 0.000 8.292
Cs Mn S
8 4 4
direct
0.250 0.250 0.250
0.250 0.250 0.750
0.250 0.750 0.250
0.250 0.750 0.750
0.750 0.250 0.250
0.750 0.250 0.750
0.750 0.750 0.250
0.750 0.750 0.750
0.000 0.000 0.000
0.000 0.500 0.500
0.500 0.000 0.500
0.500 0.500 0.000
0.000 0.000 0.500
0.000 0.500 0.000
0.500 0.000 0.000
0.500 0.500 0.500
```


[2]
Material: Cs3MnSi
Method: DFT, meta-GGA SCAN
State: PBEsol geometry

Results
The final energy is -136.64 eV per cell. Its space group is Pm-3m. The uncorrected formation energy is 1.012 eV per atom. The value obtained for the density of states at the Fermi level is 9.084 states/eV/f.u. Its total magnetization is 6.070 μB/cell.

POSCAR file:
```
Cs3MnSi
1.0
6.482 0.000 0.000
0.000 6.482 0.000
0.000 0.000 6.482
Cs Mn Si
3 1 1
direct
0.000 0.000 0.500
0.000 0.500 0.000
0.500 0.000 0.000
0.000 0.000 0.000
0.500 0.500 0.500
```


[3]
Material: CsMn3Tc
Method: DFT, meta-GGA SCAN
State: PBEsol geometry

Results
The final energy is -113.96 eV per cell. Its space group is Pm-3m. The value obtained for the density of states at the Fermi level is 5.787 states/eV/f.u. Its total magnetization is 13.001 μB/cell.

POSCAR file:
```
CsMn3Tc
1.0
4.671 0.000 0.000
0.000 4.671 0.000
0.000 0.000 4.671
Cs Mn Tc
1 3 1
direct
0.000 0.000 0.000
0.000 0.000 0.500
0.000 0.500 0.000
0.500 0.000 0.000
0.500 0.500 0.500
```


[4]
Material: CsTiMn2
Method: DFT, meta-GGA SCAN
State: PBEsol geometry

Results
The final energy is -342.56 eV per cell. Its space group is Fm-3m. The value obtained for the density of states at the Fermi level is 2.926 states/eV/f.u. Its total magnetization is 21.815 μB/cell.

POSCAR file:
```
CsTiMn2
1.0
6.846 0.000 0.000
0.000 6.846 0.000
0.000 0.000 6.846
Cs Ti Mn
4 4 8
direct
0.000 0.000 0.000
0.000 0.500 0.500
0.500 0.000 0.500
0.500 0.500 0.000
0.000 0.000 0.500
0.000 0.500 0.000
0.500 0.000 0.000
0.500 0.500 0.500
0.250 0.250 0.250
0.250 0.250 0.750
0.250 0.750 0.250
0.250 0.750 0.750
0.750 0.250 0.250
0.750 0.250 0.750
0.750 0.750 0.250
0.750 0.750 0.750
```